First-principles (GGA+U) data for a geometry-optimized LiVCdO4 structure, as listed in Alexandria via LeMat-Bulk.

The calculation puts the total energy at -42.560 eV per formula unit. As for the crystal system: orthorhombic.

The space group is Cmcm (No. 63) and the conventional cell measures 6.063, 9.098 and 6.560 Å, with angles of 90.00, 90.00 and 90.00 degrees. The asymmetric unit holds Li at (0.000, 0.158, 0.250), V at (0.000, 0.141, 0.750), Cd at (0.000, 0.500, 0.000), O at (0.000, 0.246, 0.532) and O at (0.228, 0.018, 0.750).